(i)
This record from the Alexandria database describes a crystal of Sr2InCl relaxed with PBEsol. The functional is meta-GGA SCAN.

Results
Fermi-level density of states (states/eV/atom): 0.54
Size of the total moment (μB/f.u.): 0.00

CIF file:
```
data_Sr2InCl
_chemical_formula_sum 'Sr4 In2 Cl2'
_cell_length_a 4.509
_cell_length_b 4.509
_cell_length_c 13.475
_cell_angle_alpha 90.00
_cell_angle_beta 90.00
_cell_angle_gamma 90.00
_symmetry_space_group_name_H-M 'I -4 m 2'
_symmetry_Int_Tables_number 119
_symmetry_space_group_name_Hall 'I -4 -2'
loop_
_atom_site_label
_atom_site_type_symbol
_atom_site_fract_x
_atom_site_fract_y
_atom_site_fract_z
Sr1 Sr 0.000 0.000 0.000
Sr2 Sr 0.000 0.500 0.250
In1 In 0.000 0.500 0.750
Cl1 Cl 0.000 0.000 0.500
```

(ii)
This record from the Alexandria database describes a crystal of Sr2InCl relaxed with PBEsol. The functional is meta-GGA SCAN.

Results
Fermi-level density of states (states/eV/atom): 0.41
Size of the total moment (μB/f.u.): 0.00

CIF file:
```
data_Sr2InCl
_chemical_formula_sum 'Sr2 In1 Cl1'
_cell_length_a 4.120
_cell_length_b 3.806
_cell_length_c 8.584
_cell_angle_alpha 90.00
_cell_angle_beta 90.07
_cell_angle_gamma 90.00
_symmetry_space_group_name_H-M 'P 1 2/m 1'
_symmetry_Int_Tables_number 10
loop_
_symmetry_equiv_pos_as_xyz
'x,y,z'
'-x,-y,-z'
'-x,y,-z'
'x,-y,z'
loop_
_atom_site_label
_atom_site_type_symbol
_atom_site_fract_x
_atom_site_fract_y
_atom_site_fract_z
Sr1 Sr 0.000 0.000 0.232
In1 In 0.500 0.500 0.000
Cl1 Cl 0.000 0.500 0.500
```

Result of the stability comparison: (ii) is the most stable of them.